First-principles (PBE) data for InSiPb2 after structural relaxation, as listed in Alexandria via LeMat-Bulk.

The space group is Pmmm (No. 47) and the conventional cell measures 3.611, 3.940 and 7.583 Å, with angles of 90.00, 90.00 and 90.00 degrees. Symmetry generates all atoms from In at (0.000, 0.000, 0.000), Si at (0.000, 0.000, 0.500) and Pb at (0.500, 0.500, 0.285).

The formation energy from raw total energies is 27 kJ per mole of atoms.